VASP calculation (GGA-PBE) on a relaxed Ba2PmCu3O6 crystal.

extended XYZ file:
```
12
Lattice="3.9140 0.0000 0.0000 0.0000 3.9140 0.0000 0.0000 0.0000 12.1794" Properties=species:S:1:pos:R:3 pbc="T T T"
Ba 0.0000 0.0000 2.3694
Ba 0.0000 0.0000 9.8100
Pm 0.0000 0.0000 6.0897
Cu 1.9570 1.9570 0.0000
Cu 1.9570 1.9570 4.4180
Cu 1.9570 1.9570 7.7614
O 0.0000 1.9570 4.5732
O 0.0000 1.9570 7.6062
O 1.9570 0.0000 4.5732
O 1.9570 0.0000 7.6062
O 1.9570 1.9570 1.8099
O 1.9570 1.9570 10.3695
```

- total DFT energy (no corrections) (eV per atom) = -6.082
- volume (Å³ per cell) = 186.6
- energy relative to the elements, uncorrected (meV per atom) = -1862



VASP calculation (GGA-PBE) on a relaxed PuScHgRu crystal.

extended XYZ file:
```
4
Lattice="3.2637 0.0000 0.0000 0.0000 3.2637 0.0000 0.0000 0.0000 7.8117" Properties=species:S:1:pos:R:3 pbc="T T T"
Pu 0.0000 0.0000 0.0000
Sc 0.0000 0.0000 4.4666
Hg 1.6319 1.6319 2.4294
Ru 1.6319 1.6319 5.9830
```

- total DFT energy (no corrections) (eV per atom) = -7.907
- polymorph energy (0 for the lowest one) (meV/atom) = 0
- volume (Å³ per cell) = 83.2
- energy of formation (kJ per mole of atoms) = -33



VASP calculation (GGA-PBE) on a relaxed LiPtSeI crystal.

extended XYZ file:
```
4
Lattice="6.8344 -1.8825 0.0000 6.8344 1.8825 0.0000 -1.4881 0.0000 4.2822" Properties=species:S:1:pos:R:3 pbc="T T T"
Li 0.0000 0.0000 0.0000
Pt 5.7211 0.0000 2.0062
Se 0.4231 0.0000 2.5479
I 10.7885 0.0000 1.3808
```

- total DFT energy (no corrections) (eV per atom) = -3.822
- polymorph energy (0 for the lowest one) (meV/atom) = 2
- volume (Å³ per cell) = 110.2
- energy relative to the elements, uncorrected (meV per atom) = -575



> Look up the volume of the third one.

110.2 Å³ per cell



> The lowest total DFT energy (no corrections) belongs to which entry?

PuScHgRu